Version A
DFT (PBE) results for a relaxed Ta2NbB2 crystal.

Values from the calculation:
As for the density: 11.18 g cm⁻³. The space group is Cmcm.

Lattice parameters (Å, degrees): 6.9895 6.9895 4.4543 90.00 90.00 139.41
Element x y z (fractional)
Ta (0.1116, 0.8884, 0.7500)
Ta (0.2785, 0.7215, 0.2500)
Ta (0.7215, 0.2785, 0.7500)
Ta (0.8884, 0.1116, 0.2500)
Nb (0.5000, 0.5000, 0.0000)
Nb (0.5000, 0.5000, 0.5000)
B (0.1608, 0.4654, 0.7500)
B (0.4654, 0.1608, 0.2500)
B (0.5346, 0.8392, 0.7500)
B (0.8392, 0.5346, 0.2500)

Version B
DFT (PBE) results for a relaxed Ta2NbB2 crystal.

Values from the calculation:
As for the density: 12.39 g cm⁻³. The space group is P4/mbm.

Lattice parameters (Å, degrees): 6.2239 6.2239 3.2961 90.00 90.00 90.00
Element x y z (fractional)
Ta (0.1776, 0.3224, 0.0000)
Ta (0.3224, 0.8224, 0.0000)
Ta (0.6776, 0.1776, 0.0000)
Ta (0.8224, 0.6776, 0.0000)
Nb (0.0000, 0.0000, 0.5000)
Nb (0.5000, 0.5000, 0.5000)
B (0.1067, 0.6067, 0.5000)
B (0.3933, 0.1067, 0.5000)
B (0.6067, 0.8933, 0.5000)
B (0.8933, 0.3933, 0.5000)

Short version: version B is the most stable of them.

Version A
DFT (PBE) results for a relaxed TaNb2B2 crystal.

Values from the calculation:
As for the density: 9.28 g cm⁻³. The space group is Ibam.

Lattice parameters (Å, degrees): 5.9287 5.9287 5.9287 113.18 87.64 130.36
Element x y z (fractional)
Ta (0.2500, 0.2500, 0.0000)
Ta (0.7500, 0.7500, 0.0000)
Nb (0.1551, 0.6354, 0.7905)
Nb (0.3449, 0.1354, 0.4803)
Nb (0.6551, 0.8646, 0.5197)
Nb (0.8449, 0.3646, 0.2095)
B (0.1053, 0.2800, 0.3852)
B (0.3947, 0.7800, 0.1747)
B (0.6053, 0.2200, 0.8253)
B (0.8947, 0.7200, 0.6148)

Version B
DFT (PBE) results for a relaxed TaNb2B2 crystal.

Values from the calculation:
As for the density: 10.04 g cm⁻³. The space group is P4/mbm.

Lattice parameters (Å, degrees): 6.2212 6.2212 3.3185 90.00 90.00 90.00
Element x y z (fractional)
Ta (0.0000, 0.0000, 0.0000)
Ta (0.5000, 0.5000, 0.0000)
Nb (0.1772, 0.3228, 0.5000)
Nb (0.3228, 0.8228, 0.5000)
Nb (0.6772, 0.1772, 0.5000)
Nb (0.8228, 0.6772, 0.5000)
B (0.1065, 0.6065, 0.0000)
B (0.3935, 0.1065, 0.0000)
B (0.6065, 0.8935, 0.0000)
B (0.8935, 0.3935, 0.0000)

Short version: version B is the most stable of them.

Version A
DFT (PBE) results for a relaxed TaNbB crystal.

Values from the calculation:
As for the density: 11.24 g cm⁻³. The space group is Pmma.

Lattice parameters (Å, degrees): 10.9999 3.2917 6.9709 90.00 90.00 90.00
Element x y z (fractional)
Ta (0.0461, 0.0000, 0.1956)
Ta (0.2500, 0.0000, 0.8578)
Ta (0.4539, 0.0000, 0.1956)
Ta (0.5461, 0.0000, 0.8044)
Ta (0.7500, 0.0000, 0.1422)
Ta (0.9539, 0.0000, 0.8044)
Nb (0.1114, 0.5000, 0.5800)
Nb (0.2500, 0.5000, 0.2042)
Nb (0.3886, 0.5000, 0.5800)
Nb (0.6114, 0.5000, 0.4200)
Nb (0.7500, 0.5000, 0.7958)
Nb (0.8886, 0.5000, 0.4200)
B (0.0886, 0.5000, 0.9486)
B (0.2500, 0.0000, 0.4636)
B (0.4114, 0.5000, 0.9486)
B (0.5886, 0.5000, 0.0514)
B (0.7500, 0.0000, 0.5364)
B (0.9114, 0.5000, 0.0514)

Version B
DFT (PBE) results for a relaxed TaNbB crystal.

Values from the calculation:
As for the density: 10.48 g cm⁻³. The space group is P2_1/c.

Lattice parameters (Å, degrees): 5.1769 6.5693 5.6936 90.00 111.24 90.00
Element x y z (fractional)
Ta (0.2484, 0.1240, 0.4971)
Ta (0.2484, 0.3760, 0.9971)
Ta (0.7516, 0.6240, 0.0029)
Ta (0.7516, 0.8760, 0.5029)
Nb (0.2498, 0.6260, 0.5010)
Nb (0.2498, 0.8740, 0.0010)
Nb (0.7502, 0.1260, 0.9990)
Nb (0.7502, 0.3740, 0.4990)
B (0.0032, 0.1250, 0.7501)
B (0.0032, 0.3750, 0.2501)
B (0.9968, 0.6250, 0.7499)
B (0.9968, 0.8750, 0.2499)

Version C
DFT (PBE) results for a relaxed TaNbB crystal.

Values from the calculation:
As for the density: 11.38 g cm⁻³. The space group is Cmcm.

Lattice parameters (Å, degrees): 8.0061 8.0061 3.2019 90.00 90.00 156.12
Element x y z (fractional)
Ta (0.1971, 0.8029, 0.7500)
Ta (0.8029, 0.1971, 0.2500)
Nb (0.4173, 0.5827, 0.7500)
Nb (0.5827, 0.4173, 0.2500)
B (0.0323, 0.9677, 0.7500)
B (0.9677, 0.0323, 0.2500)

Short version: version C is the most stable of them.